Run a
VASP calculation (PBE-GGA) on a geometry-optimized Ti2Mn2Nb structure. Values from VASP.

Geometry as Quantum ESPRESSO input:
```
&SYSTEM
  ibrav = 0, nat = 10, ntyp = 3
/
ATOMIC_SPECIES
Ti 47.87 Ti.upf
Mn 54.94 Mn.upf
Nb 92.91 Nb.upf
CELL_PARAMETERS angstrom
3.016 0.000 -0.404
0.000 4.400 0.000
-0.081 0.000 10.856
ATOMIC_POSITIONS angstrom
Ti 0.134 3.300 0.999
Ti 2.802 1.100 9.453
Ti 0.679 3.300 5.078
Ti 2.256 1.100 5.373
Mn 1.927 3.300 2.919
Mn 1.008 1.100 7.532
Mn 1.290 3.300 9.627
Mn 1.645 1.100 0.824
Nb 2.527 3.300 7.409
Nb 0.408 1.100 3.043
```

---

Run b
VASP calculation (PBE-GGA) on a geometry-optimized Ti2Mn2Nb structure. Values from VASP.

Geometry as Quantum ESPRESSO input:
```
&SYSTEM
  ibrav = 0, nat = 10, ntyp = 3
/
ATOMIC_SPECIES
Nb 92.91 Nb.upf
Mn 54.94 Mn.upf
Ti 47.87 Ti.upf
CELL_PARAMETERS angstrom
6.926 0.000 0.000
0.000 6.926 0.000
0.000 0.000 3.105
ATOMIC_POSITIONS angstrom
Nb 0.000 0.000 0.000
Nb 3.463 3.463 0.000
Mn 2.465 5.928 0.000
Mn 5.928 4.460 0.000
Mn 4.460 0.998 0.000
Mn 0.998 2.465 0.000
Ti 1.063 4.526 1.553
Ti 4.526 5.863 1.553
Ti 5.863 2.400 1.553
Ti 2.400 1.063 1.553
```

---

Which structure is the most stable? The one labeled run a.

---

Run a
VASP calculation (PBE-GGA) on a geometry-optimized Ti4MnNb2 structure. Values from VASP.

Geometry as Quantum ESPRESSO input:
```
&SYSTEM
  ibrav = 0, nat = 7, ntyp = 3
/
ATOMIC_SPECIES
Nb 92.91 Nb.upf
Mn 54.94 Mn.upf
Ti 47.87 Ti.upf
CELL_PARAMETERS angstrom
-0.451 4.342 0.123
-1.080 0.007 -4.232
-7.230 1.457 -0.406
ATOMIC_POSITIONS angstrom
Nb -2.458 1.987 -1.623
Nb -6.302 3.820 -2.892
Mn 0.000 0.000 0.000
Ti -4.891 1.717 -1.002
Ti -3.869 4.090 -3.513
Ti -0.540 0.004 -2.116
Ti -0.225 2.171 0.061
```

---

Run b
VASP calculation (PBE-GGA) on a geometry-optimized Ti4MnNb2 structure. Values from VASP.

Geometry as Quantum ESPRESSO input:
```
&SYSTEM
  ibrav = 0, nat = 7, ntyp = 3
/
ATOMIC_SPECIES
Ti 47.87 Ti.upf
Mn 54.94 Mn.upf
Nb 92.91 Nb.upf
CELL_PARAMETERS angstrom
-0.638 -1.887 2.361
-0.607 -2.885 -4.493
6.740 -2.853 -0.456
ATOMIC_POSITIONS angstrom
Ti 3.475 -2.625 -1.160
Ti 2.021 -4.999 -1.428
Ti 5.134 -4.912 -0.517
Ti 0.362 -2.713 -2.071
Mn 0.000 0.000 0.000
Nb 4.201 -5.404 -3.184
Nb 1.295 -2.220 0.596
```

---

Which structure is the most stable? The one labeled run b.

---

Run a
VASP calculation (PBE-GGA) on a geometry-optimized MnNbTl3 structure. Values from VASP.

Geometry as Quantum ESPRESSO input:
```
&SYSTEM
  ibrav = 0, nat = 5, ntyp = 3
/
ATOMIC_SPECIES
Tl 204.38 Tl.upf
Mn 54.94 Mn.upf
Nb 92.91 Nb.upf
CELL_PARAMETERS angstrom
5.435 0.000 0.000
0.000 5.435 0.000
0.000 0.000 5.435
ATOMIC_POSITIONS angstrom
Tl 0.000 2.718 0.000
Tl 0.000 0.000 2.718
Tl 2.718 0.000 0.000
Mn 2.718 2.718 2.718
Nb 0.000 0.000 0.000
```

---

Run b
VASP calculation (PBE-GGA) on a geometry-optimized MnNbTl3 structure. Values from VASP.

Geometry as Quantum ESPRESSO input:
```
&SYSTEM
  ibrav = 0, nat = 5, ntyp = 3
/
ATOMIC_SPECIES
Tl 204.38 Tl.upf
Mn 54.94 Mn.upf
Nb 92.91 Nb.upf
CELL_PARAMETERS angstrom
-0.509 -4.937 0.525
4.061 -0.718 -2.811
2.857 0.140 4.090
ATOMIC_POSITIONS angstrom
Tl 2.030 -0.359 -1.406
Tl 1.428 0.070 2.045
Tl -0.255 -2.469 0.262
Mn 0.000 0.000 0.000
Nb 3.204 -2.757 0.902
```

---

Which structure is the most stable? The one labeled run b.

---

Run a
VASP calculation (PBE-GGA) on a geometry-optimized MnNb2Tl structure. Values from VASP.

Geometry as Quantum ESPRESSO input:
```
&SYSTEM
  ibrav = 0, nat = 8, ntyp = 3
/
ATOMIC_SPECIES
Tl 204.38 Tl.upf
Mn 54.94 Mn.upf
Nb 92.91 Nb.upf
CELL_PARAMETERS angstrom
-6.868 0.989 2.579
-1.020 -7.331 0.095
-2.994 -3.270 3.904
ATOMIC_POSITIONS angstrom
Tl 0.000 0.000 0.000
Tl -6.903 -2.726 3.910
Mn -3.944 -3.171 1.337
Mn -3.979 -6.886 2.668
Nb -4.746 -1.177 2.441
Nb -2.667 -5.215 1.517
Nb -5.267 -5.282 3.937
Nb -9.085 -7.551 5.262
```

---

Run b
VASP calculation (PBE-GGA) on a geometry-optimized MnNb2Tl structure. Values from VASP.

Geometry as Quantum ESPRESSO input:
```
&SYSTEM
  ibrav = 0, nat = 4, ntyp = 3
/
ATOMIC_SPECIES
Tl 204.38 Tl.upf
Mn 54.94 Mn.upf
Nb 92.91 Nb.upf
CELL_PARAMETERS angstrom
-1.799 -4.306 0.257
-2.308 -1.344 3.837
-4.632 -0.611 -0.152
ATOMIC_POSITIONS angstrom
Tl -4.369 -3.130 1.971
Mn 0.000 0.000 0.000
Nb -2.185 -1.565 0.985
Nb -6.554 -4.695 2.956
```

---

Which structure is the most stable? The one labeled run b.